Entry 1:
The following is a GGA-PBE calculation of a geometry-optimized Na3Sm3TeSe8 structure, from Alexandria via LeMat-Bulk.

Lattice parameters (Å, degrees): 8.406 8.406 8.565 119.42 90.00 120.00
Fractional coordinates of all 15 atoms:
Na: 0.000 0.000 0.000
Sm: 0.500 0.500 0.500
Na: 0.000 0.500 0.000
Se: 0.236 0.991 0.728
Se: 0.237 0.473 0.728
Sm: 0.000 0.500 0.500
Se: 0.755 0.991 0.728
Se: 0.763 0.527 0.272
Na: 0.500 0.500 0.000
Te: 0.000 0.000 0.500
Sm: 0.500 0.000 0.500
Se: 0.744 0.489 0.733
Se: 0.245 0.009 0.272
Se: 0.256 0.511 0.267
Se: 0.764 0.009 0.272

Computed properties:
- M_tot (μB/f.u.) = 0.00
- density of states at the Fermi level (states/eV/atom) = 0.000
- E (eV/cell) = -69.375
- space-group type = R-3m, No. 166



Entry 2:
The following is a GGA-PBE calculation of a geometry-optimized Na2SmTeSe4 structure, from Alexandria via LeMat-Bulk.

Lattice parameters (Å, degrees): 8.377 8.377 8.406 117.90 117.90 89.60
Fractional coordinates of all 16 atoms:
Se: 0.243 0.723 0.471
Sm: 0.000 0.500 0.000
Na: 0.500 0.500 0.000
Te: 0.500 0.500 0.500
Se: 0.218 0.224 0.976
Sm: 0.000 0.500 0.500
Se: 0.724 0.718 0.476
Na: 0.000 0.000 0.500
Se: 0.276 0.282 0.524
Se: 0.777 0.257 0.029
Na: 0.500 0.000 0.500
Na: 0.500 0.000 0.000
Se: 0.782 0.776 0.024
Se: 0.223 0.743 0.971
Te: 0.000 0.000 0.000
Se: 0.757 0.277 0.529

Computed properties:
- M_tot (μB/f.u.) = 0.00
- density of states at the Fermi level (states/eV/atom) = 0.164
- E (eV/cell) = -65.092
- space-group type = C2/c, No. 15



Entry 3:
The following is a GGA-PBE calculation of a geometry-optimized Na3Sm2ThSe6 structure, from Alexandria via LeMat-Bulk.

Lattice parameters (Å, degrees): 4.206 8.587 9.546 104.36 102.73 90.00
Fractional coordinates of all 12 atoms:
Se: 0.337 0.910 0.675
Na: 0.832 0.168 0.663
Se: 0.997 0.756 0.995
Se: 0.331 0.423 0.662
Sm: 0.169 0.338 0.337
Se: 0.669 0.577 0.338
Na: 0.500 0.500 0.000
Th: 0.500 0.000 0.000
Sm: 0.831 0.662 0.663
Se: 0.003 0.244 0.005
Se: 0.663 0.090 0.325
Na: 0.168 0.832 0.337

Computed properties:
- M_tot (μB/f.u.) = 0.00
- density of states at the Fermi level (states/eV/atom) = 0.360
- E (eV/cell) = -61.174
- space-group type = C2/m, No. 12



Entry 4:
The following is a GGA-PBE calculation of a geometry-optimized NaSm2ThSe4 structure, from Alexandria via LeMat-Bulk.

Lattice parameters (Å, degrees): 4.160 7.237 7.296 71.13 90.00 90.00
Fractional coordinates of all 8 atoms:
Sm: 0.000 0.000 0.000
Th: 0.000 0.500 0.500
Na: 0.500 0.500 0.000
Se: 0.000 0.250 0.250
Se: 0.500 0.251 0.755
Se: 0.500 0.749 0.245
Sm: 0.500 0.000 0.500
Se: 0.000 0.750 0.750

Computed properties:
- M_tot (μB/f.u.) = 0.00
- density of states at the Fermi level (states/eV/atom) = 0.600
- E (eV/cell) = -45.482
- space-group type = P2/m, No. 10



Entry 5:
The following is a GGA-PBE calculation of a geometry-optimized Na2SmThSe4 structure, from Alexandria via LeMat-Bulk.

Lattice parameters (Å, degrees): 4.194 7.272 7.503 108.75 90.00 90.00
Fractional coordinates of all 8 atoms:
Na: 0.500 0.000 0.500
Na: 0.000 0.500 0.500
Se: 0.500 0.247 0.241
Se: 0.000 0.252 0.762
Sm: 0.500 0.500 0.000
Se: 0.000 0.748 0.238
Th: 0.000 0.000 0.000
Se: 0.500 0.753 0.759

Computed properties:
- M_tot (μB/f.u.) = 0.00
- density of states at the Fermi level (states/eV/atom) = 0.509
- E (eV/cell) = -41.385
- space-group type = P2/m, No. 10



Entry 6:
The following is a GGA-PBE calculation of a geometry-optimized Na3Sm3ThSe8 structure, from Alexandria via LeMat-Bulk.

Lattice parameters (Å, degrees): 8.502 8.501 8.579 119.71 90.00 120.00
Fractional coordinates of all 15 atoms:
Na: 0.000 0.500 0.000
Se: 0.242 0.485 0.729
Th: 0.000 0.000 0.500
Na: 0.000 0.000 0.000
Se: 0.255 0.012 0.271
Sm: 0.000 0.500 0.500
Se: 0.745 0.988 0.729
Se: 0.242 0.988 0.729
Se: 0.745 0.489 0.733
Se: 0.758 0.012 0.271
Sm: 0.500 0.000 0.500
Se: 0.255 0.511 0.267
Na: 0.500 0.500 0.000
Sm: 0.500 0.500 0.500
Se: 0.758 0.515 0.271

Computed properties:
- M_tot (μB/f.u.) = 0.00
- density of states at the Fermi level (states/eV/atom) = 0.000
- E (eV/cell) = -78.806
- space-group type = R-3m, No. 166



Entry 7:
The following is a GGA-PBE calculation of a geometry-optimized Na3Sm2TiSe6 structure, from Alexandria via LeMat-Bulk.

Lattice parameters (Å, degrees): 7.087 7.087 7.401 99.22 99.22 119.96
Last column: magnetic moment on the atom in μB.
Fractional coordinates of all 12 atoms:
Na: 0.830 0.170 0.500  0.00
Sm: 0.333 0.667 0.000  0.02
Se: 0.232 0.232 0.777  -0.01
Se: 0.768 0.768 0.223  -0.01
Se: 0.614 0.923 0.772  -0.01
Se: 0.923 0.614 0.772  -0.01
Ti: 0.000 0.000 0.000  0.84
Na: 0.500 0.500 0.500  0.00
Se: 0.077 0.386 0.228  -0.01
Sm: 0.667 0.333 0.000  0.02
Na: 0.170 0.830 0.500  0.00
Se: 0.386 0.077 0.228  -0.01

Computed properties:
- M_tot (μB/f.u.) = 1.00
- density of states at the Fermi level (states/eV/atom) = 0.525
- E (eV/cell) = -59.917
- space-group type = C2/m, No. 12



Entry 8:
The following is a GGA-PBE calculation of a geometry-optimized Na2SmTlSe4 structure, from Alexandria via LeMat-Bulk.

Lattice parameters (Å, degrees): 4.164 7.289 7.527 109.48 90.00 90.00
Fractional coordinates of all 8 atoms:
Na: 0.500 0.000 0.500
Sm: 0.500 0.500 0.000
Se: 0.000 0.737 0.241
Se: 0.500 0.233 0.227
Se: 0.000 0.263 0.759
Se: 0.500 0.767 0.773
Na: 0.000 0.500 0.500
Tl: 0.000 0.000 0.000

Computed properties:
- M_tot (μB/f.u.) = 0.00
- density of states at the Fermi level (states/eV/atom) = 0.249
- E (eV/cell) = -32.310
- space-group type = P2/m, No. 10